No. 1
LaDy6Th | PBE | optimized geometry

Unit cell a=5.0507 b=5.0507 c=10.1065 alpha=90.00 beta=90.00 gamma=90.00
Closest atoms and distances in Å follow each position.
Space group P4/mmm (No. 123)
One atom of each set of equivalent atoms:
La 0.0000 0.0000 0.0000 (multiplicity 1)  12 Dy 3.57-3.62
Dy 0.0000 0.5000 0.2562 (multiplicity 4)  8 Dy 3.53-3.62, 2 Th 3.53, 2 La 3.62
Dy 0.5000 0.5000 0.0000 (multiplicity 1)  4 La 3.57, 8 Dy 3.62
Dy 0.5000 0.5000 0.5000 (multiplicity 1)  8 Dy 3.53, 4 Th 3.57
Th 0.0000 0.0000 0.5000 (multiplicity 1)  12 Dy 3.53-3.57

Output
E_form   0.0291 eV per atom
Excess energy over the best structure of this formula in the dataset   0.000 eV/f.u.
M_tot   0.00 μB/cell

=====

No. 2
La3Dy4Th | PBE | optimized geometry

Unit cell a=3.4690 b=11.8379 c=13.2205 alpha=90.00 beta=90.00 gamma=90.00
Closest atoms and distances in Å follow each position.
Space group Immm (No. 71)
One atom of each set of equivalent atoms:
La 0.0000 0.0000 0.0000 (multiplicity 2)  2 La 3.47, 8 Dy 3.85
La 0.0000 0.5000 0.2312 (multiplicity 4)  6 Dy 3.46-3.67, 2 La 3.47, 2 Th 3.51
Dy 0.0000 0.2503 0.3670 (multiplicity 8)  1 Th 3.44, 5 La 3.46-3.85, 5 Dy 3.47-3.55
Th 0.0000 0.0000 0.5000 (multiplicity 2)  4 Dy 3.44, 2 Th 3.47, 4 La 3.51

Output
E_form   0.1437 eV per atom
M_tot   0.00 μB/cell

=====

No. 3
La8Dy2Th3 | PBE | optimized geometry

Unit cell a=10.0622 b=11.1319 c=8.9068 alpha=90.00 beta=112.75 gamma=90.00
Closest atoms and distances in Å follow each position.
Space group C2/m (No. 12)
One atom of each set of equivalent atoms:
La 0.0858 0.0000 0.3374 (multiplicity 4)  2 Dy 3.45-3.70, 2 La 3.63, 3 Th 3.85
La 0.1040 0.5000 0.2211 (multiplicity 4)  1 Th 3.05, 1 Dy 3.37
La 0.1628 0.2416 0.6841 (multiplicity 8)  3 Th 3.40-3.76, 3 La 3.45-3.63, 1 Dy 3.62
Dy 0.2361 0.0000 0.0489 (multiplicity 4)  6 La 3.37-3.70, 2 Th 3.48
Th 0.0000 0.2387 0.0000 (multiplicity 4)  8 La 3.44-3.85, 2 Dy 3.48
Th 0.0000 0.5000 0.5000 (multiplicity 2)  6 La 3.05-3.40

Output
E_form   0.2047 eV per atom
M_tot   0.00 μB/cell

=====

No. 4
LaDy3Th | PBE | optimized geometry

Unit cell a=6.4876 b=12.3780 c=16.8712 alpha=90.00 beta=90.00 gamma=90.00
Closest atoms and distances in Å follow each position.
Space group Fmmm (No. 69)
One atom of each set of equivalent atoms:
La 0.0000 0.1285 0.0000 (multiplicity 8)  1 La 3.18, 2 Dy 3.43
Dy 0.0000 0.0000 0.1987 (multiplicity 8)  4 Th 3.60, 8 Dy 3.68-3.98, 2 La 3.71
Dy 0.0000 0.1322 0.3975 (multiplicity 16)  2 Dy 3.27-3.46, 2 Th 3.31, 1 La 3.43
Th 0.2500 0.2500 0.2500 (multiplicity 8)  2 Th 3.24, 8 Dy 3.31-3.60

Output
E_form   0.2047 eV per atom
Excess energy over the best structure of this formula in the dataset   0.046 eV/f.u.
M_tot   0.00 μB/cell